Entry 1:
# HfNbRh3 PBE optimized geometry
data_HfNbRh3
_cell_length_a 4.680
_cell_length_b 4.680
_cell_length_c 4.680
_cell_angle_alpha 90.00
_cell_angle_beta 90.00
_cell_angle_gamma 90.00
_space_group_name_H-M_alt 'P 1'
_space_group_IT_number 1
loop_
_space_group_symop_operation_xyz
'x,y,z'
loop_
_atom_site_label
_atom_site_type_symbol
_atom_site_fract_x
_atom_site_fract_y
_atom_site_fract_z
Hf1 Hf 0.000 0.000 0.000
Nb1 Nb 0.500 0.500 0.500
Rh1 Rh 0.000 0.500 0.500
Rh2 Rh 0.500 0.000 0.500
Rh3 Rh 0.500 0.500 0.000
# Energy (eV per cell): -39.0
# E_form (eV per atom): 0.614
# Distance to the lowest polymorph of the same formula (eV per atom): 0.000
# Fermi-level density of states (states/eV/f.u.): 5.1


Entry 2:
# Dy4PaSe5 PBE optimized geometry
data_Dy4PaSe5
_cell_length_a 17.257
_cell_length_b 17.257
_cell_length_c 17.257
_cell_angle_alpha 13.37
_cell_angle_beta 13.37
_cell_angle_gamma 13.37
_space_group_name_H-M_alt 'P 1'
_space_group_IT_number 1
loop_
_space_group_symop_operation_xyz
'x,y,z'
loop_
_atom_site_label
_atom_site_type_symbol
_atom_site_fract_x
_atom_site_fract_y
_atom_site_fract_z
Dy1 Dy 0.101 0.101 0.101
Dy2 Dy 0.301 0.301 0.301
Dy3 Dy 0.699 0.699 0.699
Dy4 Dy 0.899 0.899 0.899
Pa1 Pa 0.500 0.500 0.500
Se1 Se 0.000 0.000 0.000
Se2 Se 0.201 0.201 0.201
Se3 Se 0.400 0.400 0.400
Se4 Se 0.600 0.600 0.600
Se5 Se 0.799 0.799 0.799
# Energy (eV per cell): -61.7
# Raw formation energy (eV per atom): -1.64
# Fermi-level density of states (states/eV/f.u.): 7.6


Entry 3:
# Sn2SbC PBE optimized geometry
data_Sn2SbC
_cell_length_a 6.642
_cell_length_b 6.642
_cell_length_c 6.642
_cell_angle_alpha 122.91
_cell_angle_beta 122.91
_cell_angle_gamma 85.02
_space_group_name_H-M_alt 'P 1'
_space_group_IT_number 1
loop_
_space_group_symop_operation_xyz
'x,y,z'
loop_
_atom_site_label
_atom_site_type_symbol
_atom_site_fract_x
_atom_site_fract_y
_atom_site_fract_z
Sn1 Sn 0.036 0.625 0.911
Sn2 Sn 0.375 0.286 0.411
Sn3 Sn 0.714 0.125 0.089
Sn4 Sn 0.875 0.964 0.589
Sb1 Sb 0.250 0.750 0.500
Sb2 Sb 0.500 0.500 0.000
C1 C 0.000 0.000 0.000
C2 C 0.750 0.250 0.500
# Energy (eV per cell): -37.3
# Raw formation energy (eV per atom): 0.67
# Distance to the lowest polymorph of the same formula (eV per atom): 0.000
# Fermi-level density of states (states/eV/f.u.): 2.0


Entry 4:
# Tb4Pm3Co4 PBE optimized geometry
data_Tb4Pm3Co4
_cell_length_a 9.157
_cell_length_b 9.157
_cell_length_c 9.157
_cell_angle_alpha 156.48
_cell_angle_beta 122.50
_cell_angle_gamma 62.99
_space_group_name_H-M_alt 'P 1'
_space_group_IT_number 1
loop_
_space_group_symop_operation_xyz
'x,y,z'
loop_
_atom_site_label
_atom_site_type_symbol
_atom_site_fract_x
_atom_site_fract_y
_atom_site_fract_z
Tb1 Tb 0.019 0.834 0.186
Tb2 Tb 0.352 0.166 0.186
Tb3 Tb 0.648 0.834 0.814
Tb4 Tb 0.981 0.166 0.814
Pm1 Pm 0.000 0.500 0.500
Pm2 Pm 0.397 0.397 0.000
Pm3 Pm 0.603 0.603 0.000
Co1 Co 0.248 0.748 0.500
Co2 Co 0.283 0.000 0.283
Co3 Co 0.717 0.000 0.717
Co4 Co 0.752 0.252 0.500
# Energy (eV per cell): -61.5
# E_form (eV per atom): -0.032
# Fermi-level density of states (states/eV/f.u.): 10.3


Entry 5:
# Ca3Ag9Hg2 PBE optimized geometry
data_Ca3Ag9Hg2
_cell_length_a 8.813
_cell_length_b 8.813
_cell_length_c 8.813
_cell_angle_alpha 148.70
_cell_angle_beta 114.65
_cell_angle_gamma 74.25
_space_group_name_H-M_alt 'P 1'
_space_group_IT_number 1
loop_
_space_group_symop_operation_xyz
'x,y,z'
loop_
_atom_site_label
_atom_site_type_symbol
_atom_site_fract_x
_atom_site_fract_y
_atom_site_fract_z
Ca1 Ca 0.000 0.000 0.000
Ca2 Ca 0.304 0.304 0.000
Ca3 Ca 0.696 0.696 0.000
Ag1 Ag 0.036 0.681 0.356
Ag2 Ag 0.149 0.873 0.276
Ag3 Ag 0.325 0.681 0.644
Ag4 Ag 0.403 0.127 0.276
Ag5 Ag 0.500 0.000 0.500
Ag6 Ag 0.597 0.873 0.724
Ag7 Ag 0.675 0.319 0.356
Ag8 Ag 0.851 0.127 0.724
Ag9 Ag 0.964 0.319 0.644
Hg1 Hg 0.289 0.500 0.789
Hg2 Hg 0.711 0.500 0.211
# Energy (eV per cell): -35.0
# E_form (eV per atom): -0.192
# Fermi-level density of states (states/eV/f.u.): 4.5


Entry 6:
# UAlNi4 PBE optimized geometry
data_UAlNi4
_cell_length_a 4.870
_cell_length_b 4.870
_cell_length_c 4.870
_cell_angle_alpha 60.00
_cell_angle_beta 60.00
_cell_angle_gamma 60.00
_space_group_name_H-M_alt 'P 1'
_space_group_IT_number 1
loop_
_space_group_symop_operation_xyz
'x,y,z'
loop_
_atom_site_label
_atom_site_type_symbol
_atom_site_fract_x
_atom_site_fract_y
_atom_site_fract_z
U1 U 0.000 0.000 0.000
Al1 Al 0.750 0.750 0.750
Ni1 Ni 0.376 0.376 0.376
Ni2 Ni 0.376 0.376 0.871
Ni3 Ni 0.376 0.871 0.376
Ni4 Ni 0.871 0.376 0.376
# Energy (eV per cell): -40.2
# E_form (eV per atom): -0.337
# Fermi-level density of states (states/eV/f.u.): 7.5


Result set for M_tot: 0.00; 0.80; 0.00; 0.01; 0.00; 0.48 μB/cell, one per record in the order listed.